(1)
Computed, not measured: a geometry-optimized ErGa4Ir2Ru structure at the PBE level of DFT.

Unit cell a=4.2566 b=4.2566 c=25.0117 alpha=90.00 beta=90.00 gamma=120.00
Last column: nearest neighbours and their distance in Å.
Space group R-3m (No. 166, hexagonal axes)
Inequivalent atoms, fractional coordinates:
Er: 0.0000 0.0000 0.0000 (multiplicity 3)  6 Ga 2.94
Ga: 0.0000 0.0000 0.1321 (multiplicity 6)  3 Ru 2.61, 4 Ir 2.67-2.78
Ga: 0.0000 0.0000 0.3978 (multiplicity 6)  3 Ir 2.54, 1 Ru 2.56
Ir: 0.0000 0.0000 0.2432 (multiplicity 6)  7 Ga 2.54-2.78
Ru: 0.0000 0.0000 0.5000 (multiplicity 3)  8 Ga 2.56-2.61

Calculated values
DOS(E_F) (states/eV/cell): 7.5
Total moment (μB per atom): 0.00
Energy relative to the elements (eV per atom): -0.54

=====

(2)
Computed, not measured: a geometry-optimized CsCuS2 structure at the PBE level of DFT.

Unit cell a=3.7367 b=3.7367 c=26.0012 alpha=90.00 beta=90.00 gamma=120.00
Last column: nearest neighbours and their distance in Å.
Space group R-3m (No. 166, hexagonal axes)
Inequivalent atoms, fractional coordinates:
Cs: 0.0000 0.0000 0.0000 (multiplicity 3)  2 S 3.16
Cu: 0.0000 0.0000 0.5000 (multiplicity 3)  6 S 2.45
S: 0.0000 0.0000 0.1216 (multiplicity 6)  3 Cu 2.45

Calculated values
DOS(E_F) (states/eV/cell): 12.5
Formation energy without anion corrections (eV/atom): 0.04
Total moment (μB per atom): 0.00

=====

(3)
Computed, not measured: a geometry-optimized Y2MgGe structure at the PBE level of DFT.

Unit cell a=8.1556 b=8.1556 c=6.7183 alpha=90.00 beta=90.00 gamma=90.00
Last column: nearest neighbours and their distance in Å.
Space group I-42d (No. 122)
Inequivalent atoms, fractional coordinates:
Y: 0.2137 0.2500 0.1250 (multiplicity 8)  2 Ge 2.81
Mg: 0.0000 0.0000 0.5000 (multiplicity 4)  4 Y 3.21, 2 Ge 3.36
Ge: 0.0000 0.0000 0.0000 (multiplicity 4)  4 Y 2.81

Calculated values
DOS(E_F) (states/eV/cell): 9.5
Total moment (μB per atom): 0.00
Energy relative to the elements (eV per atom): -0.14

=====

(4)
Computed, not measured: a geometry-optimized AcPmCuGe structure at the PBE level of DFT.

Unit cell a=7.4843 b=7.4843 c=7.4843 alpha=90.00 beta=90.00 gamma=90.00
Last column: nearest neighbours and their distance in Å.
Space group F-43m (No. 216)
Inequivalent atoms, fractional coordinates:
Ac: 0.0000 0.0000 0.0000 (multiplicity 4)  4 Ge 3.24, 4 Cu 3.24
Pm: 0.0000 0.0000 0.5000 (multiplicity 4)  4 Ge 3.24, 4 Cu 3.24
Cu: 0.2500 0.2500 0.7500 (multiplicity 4)  4 Ac 3.24, 4 Pm 3.24
Ge: 0.2500 0.2500 0.2500 (multiplicity 4)  4 Ac 3.24, 4 Pm 3.24

Calculated values
DOS(E_F) (states/eV/cell): 17.0
Total moment (μB per atom): 0.00
Energy relative to the elements (eV per atom): -0.38